Compound: Ce2PuNiN5
Source: Alexandria
Functional: PBE
Structure: optimized geometry

Results
total moment: 3.2 μB/f.u.
final energy: -326.92 eV/cell
crystal system: orthorhombic
formation energy without anion corrections: -87 kJ/mol of atoms

a b c (Å): 3.444 12.983 10.474
angles (deg): 90.00 90.00 90.00
Space group Cmc2_1 (No. 36)
Unique sites:
Ce  0.000  0.099  0.000
Ce  0.000  0.140  0.619
Pu  0.000  0.202  0.326
Ni  0.000  0.480  0.764
N  0.000  0.050  0.369
N  0.000  0.276  0.973
N  0.000  0.331  0.693
N  0.000  0.368  0.312
N  0.000  0.483  0.088